Density functional theory data (PBE) for a relaxed structure of TmBOs.

Computed properties:
* E above lowest polymorph: 1472 meV per atom
* size of the total moment: 0.0 μB/cell

extended XYZ file:
```
3
Lattice="-2.787 -3.062 1.262 -4.109 1.042 0.876 -3.169 -1.271 -2.660" Properties=species:S:1:pos:R:3 pbc="T T T"
B -2.516 -0.823 -0.130
Os -7.549 -2.468 -0.391
Tm 0.000 0.000 0.000
```

***

Density functional theory data (PBE) for a relaxed structure of UB4Os4.

Computed properties:
* uncorrected energy: -341.30 eV/cell
* size of the total moment: 3.8 μB/cell

extended XYZ file:
```
36
Lattice="4.521 -2.858 7.543 1.797 6.978 -2.194 -7.070 2.236 1.323" Properties=species:S:1:pos:R:3 pbc="T T T"
B 4.195 -0.460 6.354
B 1.993 3.039 2.057
B -0.294 1.572 0.376
B 1.416 -0.151 4.366
B -0.044 -0.090 3.367
B 2.787 2.543 5.988
B 1.175 3.698 3.482
B -1.123 6.823 -0.697
B 0.370 -0.466 7.369
B -1.928 2.659 3.190
B -3.539 3.814 0.685
B -0.708 6.446 3.305
B -2.169 6.508 2.306
B -0.459 4.785 6.296
B -2.746 3.318 4.615
B -4.948 6.817 0.319
Os 4.686 1.425 5.437
Os 2.841 4.892 1.054
Os 1.128 6.628 -0.923
Os 2.415 1.842 3.933
Os 0.011 2.014 2.513
Os 2.145 0.518 6.334
Os 1.381 5.942 3.197
Os -2.395 1.907 1.173
Os 1.642 4.450 5.500
Os -2.134 0.415 3.475
Os -2.898 5.839 0.338
Os -0.764 4.343 4.160
Os -3.168 4.515 2.740
Os -1.881 -0.271 7.596
Os -3.594 1.465 5.618
Os -5.438 4.932 1.235
U 4.079 4.242 3.903
U -0.398 4.486 1.011
U -0.354 1.871 5.662
U -4.831 2.115 2.769
```

***

Density functional theory data (PBE) for a relaxed structure of U2B6Os.

Computed properties:
* uncorrected energy: -314.23 eV/cell
* size of the total moment: 4.4 μB/cell

extended XYZ file:
```
36
Lattice="-7.094 -1.064 -5.934 5.077 -9.175 -4.424 -1.684 -2.083 2.387" Properties=species:S:1:pos:R:3 pbc="T T T"
B -5.210 -2.094 -2.807
B -0.855 -1.704 0.606
B -2.176 -2.000 -0.584
B -4.467 -3.458 -3.472
B -6.718 -4.099 -5.620
B -1.857 -3.455 -1.629
B -5.176 -4.399 -4.794
B -2.856 -4.136 -2.927
B -0.294 -4.055 -1.050
B -3.959 -5.719 -5.088
B -2.539 -5.604 -3.985
B 0.469 -5.416 -1.698
B -4.170 -6.907 -6.273
B -1.163 -6.718 -3.986
B 0.258 -6.603 -2.883
B -3.407 -8.267 -6.921
B -0.845 -8.186 -5.044
B 1.475 -7.924 -3.177
B -1.844 -8.867 -6.343
B 3.017 -8.223 -2.351
B 0.766 -8.865 -4.499
B -1.525 -10.323 -7.388
B -2.846 -10.618 -8.578
B 1.509 -10.228 -5.164
Os -0.117 -1.804 -1.657
Os -2.951 -3.625 -5.245
Os 0.934 -6.614 -5.113
Os -1.900 -8.435 -8.702
U -5.470 -1.742 -5.380
U -2.708 -1.445 -3.172
U -4.778 -4.646 -7.426
U -0.326 -4.096 -3.805
U -1.691 -6.143 -6.554
U 2.762 -5.593 -2.932
U 0.692 -8.794 -7.187
U 3.454 -8.497 -4.979
```

***

Density functional theory data (PBE) for a relaxed structure of UB2Os3.

Computed properties:
* uncorrected energy: -482.61 eV/cell
* size of the total moment: 9.9 μB/cell

extended XYZ file:
```
48
Lattice="-5.933 0.090 0.303 -0.568 -5.996 -9.351 -0.142 -11.110 0.517" Properties=species:S:1:pos:R:3 pbc="T T T"
B -0.402 -5.848 -6.149
B -3.369 -5.803 -5.996
B -0.118 -2.852 -1.471
B -3.085 -2.808 -1.320
B -0.520 -8.699 -7.619
B -3.204 -5.657 -2.793
B -0.237 -5.702 -2.945
B -3.487 -8.655 -7.467
B -3.156 -8.361 -1.064
B -0.473 -11.404 -5.889
B -3.439 -11.360 -5.738
B -0.189 -8.407 -1.215
B -3.558 -14.209 -7.211
B -0.591 -14.255 -7.363
B -3.274 -11.214 -2.535
B -0.307 -11.259 -2.685
Os -1.625 -1.478 -2.262
Os -4.592 -1.432 -2.110
Os -1.802 -5.751 -4.470
Os -4.911 -7.206 -6.657
Os -4.770 -5.708 -4.320
Os -2.087 -8.751 -9.145
Os -4.628 -4.209 -1.981
Os -1.945 -7.252 -6.807
Os -4.485 -2.712 0.356
Os -1.660 -4.255 -2.131
Os -1.980 -10.029 -6.679
Os -1.696 -7.033 -2.005
Os -4.947 -9.984 -6.526
Os -4.663 -6.987 -1.852
Os -4.983 -12.761 -6.400
Os -1.590 -8.309 0.464
Os -4.698 -9.765 -1.724
Os -2.015 -12.808 -6.550
Os -4.556 -8.266 0.614
Os -1.873 -11.309 -4.211
Os -1.732 -9.811 -1.874
Os -4.841 -11.265 -4.061
Os -2.051 -15.585 -6.422
Os -5.018 -15.539 -6.269
U 0.000 0.000 0.000
U -2.967 0.045 0.151
U -0.284 -2.998 -4.676
U -3.251 -2.953 -4.524
U -0.071 -5.555 0.259
U -3.038 -5.510 0.410
U -0.355 -8.553 -4.417
U -3.322 -8.508 -4.266
```

***

Density functional theory data (PBE) for a relaxed structure of BOsW2.

Computed properties:
* uncorrected energy: -41.04 eV/cell
* size of the total moment: 0.0 μB/cell

extended XYZ file:
```
4
Lattice="0.000 3.022 3.022 3.022 0.000 3.022 3.022 3.022 0.000" Properties=species:S:1:pos:R:3 pbc="T T T"
B 3.022 3.022 3.022
Os 1.511 1.511 1.511
W 0.000 0.000 0.000
W 4.533 4.533 4.533
```

***

Density functional theory data (PBE) for a relaxed structure of B4OsW.

Computed properties:
* E above lowest polymorph: 9 meV per atom
* size of the total moment: 0.0 μB/cell

extended XYZ file:
```
6
Lattice="4.214 1.750 -0.556 -0.749 4.332 1.343 0.084 -4.328 1.549" Properties=species:S:1:pos:R:3 pbc="T T T"
B 2.268 0.635 0.521
B -0.176 1.994 1.479
B 3.724 -0.239 0.857
B 1.281 1.120 1.816
Os 0.000 0.000 0.000
W 1.733 3.041 0.394
```

***

Density functional theory data (PBE) for a relaxed structure of BOsW.

Computed properties:
* E above lowest polymorph: 0 meV per atom
* size of the total moment: 0.0 μB/cell

extended XYZ file:
```
3
Lattice="0.000 2.834 2.834 2.834 0.000 2.834 2.834 2.834 0.000" Properties=species:S:1:pos:R:3 pbc="T T T"
B 1.417 1.417 1.417
Os 0.000 0.000 0.000
W 4.251 4.251 4.251
```

***

Density functional theory data (PBE) for a relaxed structure of BOsW.

Computed properties:
* E above lowest polymorph: 242 meV per atom
* size of the total moment: 0.0 μB/cell

extended XYZ file:
```
3
Lattice="1.696 2.254 2.871 -2.004 0.761 3.407 1.184 -1.696 3.453" Properties=species:S:1:pos:R:3 pbc="T T T"
B 0.219 0.330 2.433
Os 0.658 0.989 7.299
W 0.000 0.000 0.000
```

***

no.,mass density (g cm⁻³)
1,10.714
2,16.143
3,12.773
4,17.325
5,17.105
6,12.975
7,14.042
8,13.859